Density functional theory data (PBE-GGA) for LaY2CdFe after structural relaxation.

Cell: 5.290 5.290 5.045 Å, 90.00 90.00 90.00°
Sites, in units of the cell vectors:
La 0.000 0.000 0.000
Y 0.000 0.500 0.500
Y 0.500 0.000 0.500
Cd 0.500 0.500 0.000
Fe 0.000 0.000 0.500

Properties
- symmetry = P4/mmm
- uncorrected energy (eV per atom) = -5.47
- energy of formation from the pure elements (eV/atom) = -0.023